1.
VASP calculation (GGA-PBE) on a relaxed SmHoBi2 crystal.

Geometry as POSCAR:
```
SmHoBi2
1.0
-4.008 1.580 1.344
0.618 -4.440 -0.522
4.615 -0.104 6.296
Sm Bi Ho
1 2 1
direct
0.000 0.500 0.500 Sm
0.496 0.748 0.243 Bi
0.504 0.252 0.757 Bi
0.000 0.000 0.000 Ho
```

Computed properties:
E above lowest polymorph = 0 meV per atom

=====

2.
VASP calculation (GGA-PBE) on a relaxed SmHo5Bi6 crystal.

Geometry as POSCAR:
```
SmHo5Bi6
1.0
7.753 0.212 0.000
2.386 7.380 0.000
1.193 3.690 6.718
Ho Bi Sm
5 6 1
direct
0.000 0.333 0.335 Ho
0.500 0.835 0.329 Ho
0.000 0.667 0.665 Ho
0.500 0.165 0.671 Ho
0.500 0.500 0.000 Ho
0.747 0.422 0.663 Bi
0.253 0.915 0.663 Bi
0.749 0.746 0.000 Bi
0.747 0.085 0.337 Bi
0.251 0.254 0.000 Bi
0.253 0.578 0.337 Bi
0.000 0.000 0.000 Sm
```

=====

3.
VASP calculation (GGA-PBE) on a relaxed SmHoBi2 crystal.

Geometry as POSCAR:
```
SmHoBi2
1.0
4.479 0.000 0.000
2.240 3.879 0.000
2.240 1.293 7.655
Ho Bi Sm
1 2 1
direct
0.498 0.498 0.506 Ho
0.084 0.084 0.749 Bi
0.249 0.249 0.252 Bi
0.669 0.669 0.994 Sm
```

Computed properties:
E above lowest polymorph = 110 meV per atom

=====

4.
VASP calculation (GGA-PBE) on a relaxed Sm3HoBi3 crystal.

Geometry as POSCAR:
```
Sm3HoBi3
1.0
9.526 0.000 0.000
0.000 9.526 0.000
0.000 0.000 9.526
Sm Bi Ho
12 12 4
direct
0.324 0.176 0.824 Sm
0.678 0.322 0.822 Sm
0.569 0.069 0.431 Sm
0.676 0.676 0.676 Sm
0.931 0.931 0.931 Sm
0.176 0.824 0.324 Sm
0.431 0.569 0.069 Sm
0.069 0.431 0.569 Sm
0.822 0.678 0.322 Sm
0.322 0.822 0.678 Sm
0.178 0.178 0.178 Sm
0.824 0.324 0.176 Sm
0.873 0.002 0.255 Bi
0.755 0.627 0.998 Bi
0.502 0.245 0.127 Bi
0.498 0.745 0.373 Bi
0.255 0.873 0.002 Bi
0.373 0.498 0.745 Bi
0.998 0.755 0.627 Bi
0.127 0.502 0.245 Bi
0.745 0.373 0.498 Bi
0.245 0.127 0.502 Bi
0.627 0.998 0.755 Bi
0.002 0.255 0.873 Bi
0.074 0.574 0.926 Ho
0.574 0.926 0.074 Ho
0.426 0.426 0.426 Ho
0.926 0.074 0.574 Ho
```

Computed properties:
E above lowest polymorph = 0 meV per atom

=====

5.
VASP calculation (GGA-PBE) on a relaxed SmHo3Bi2 crystal.

Geometry as POSCAR:
```
SmHo3Bi2
1.0
-3.163 2.858 0.851
0.991 -5.038 9.499
5.832 7.404 -3.187
Bi Ho Sm
4 6 2
direct
0.510 0.021 0.178 Bi
0.249 0.498 0.785 Bi
0.490 0.979 0.822 Bi
0.751 0.502 0.215 Bi
0.943 0.886 0.556 Ho
0.639 0.278 0.800 Ho
0.057 0.114 0.444 Ho
0.688 0.377 0.486 Ho
0.361 0.722 0.200 Ho
0.312 0.623 0.514 Ho
0.889 0.778 0.893 Sm
0.111 0.222 0.107 Sm
```

=====

6.
VASP calculation (GGA-PBE) on a relaxed Sm5HoBi5 crystal.

Geometry as POSCAR:
```
Sm5HoBi5
1.0
-0.539 2.491 5.838
2.984 -7.178 -0.137
6.727 5.667 -1.797
Bi Ho Sm
5 1 5
direct
0.167 0.334 0.836 Bi
0.165 0.330 0.331 Bi
0.835 0.670 0.669 Bi
0.833 0.666 0.164 Bi
0.500 0.000 0.000 Bi
0.000 0.000 0.000 Ho
0.000 0.000 0.500 Sm
0.337 0.674 0.173 Sm
0.663 0.326 0.827 Sm
0.332 0.663 0.665 Sm
0.668 0.337 0.335 Sm
```

=====

7.
VASP calculation (GGA-PBE) on a relaxed Sm2HoBi3 crystal.

Geometry as POSCAR:
```
Sm2HoBi3
1.0
4.527 0.000 0.000
0.000 6.400 0.000
-2.263 -3.200 6.790
Ho Sm Bi
1 2 3
direct
0.500 0.500 0.500 Ho
0.168 0.168 0.835 Sm
0.832 0.832 0.165 Sm
0.500 0.000 0.500 Bi
0.163 0.663 0.826 Bi
0.837 0.337 0.174 Bi
```

=====

8.
VASP calculation (GGA-PBE) on a relaxed Sm3Ho2Bi3 crystal.

Geometry as POSCAR:
```
Sm3Ho2Bi3
1.0
-5.133 2.138 3.302
-5.582 -2.804 -6.863
2.066 -5.784 6.958
Bi Ho Sm
6 4 6
direct
0.750 0.000 0.608 Bi
0.750 0.392 0.392 Bi
0.250 0.000 0.392 Bi
0.750 0.608 0.000 Bi
0.250 0.392 0.000 Bi
0.250 0.608 0.608 Bi
0.000 0.667 0.333 Ho
0.000 0.333 0.667 Ho
0.500 0.333 0.667 Ho
0.500 0.667 0.333 Ho
0.750 0.245 0.000 Sm
0.750 0.000 0.245 Sm
0.250 0.755 0.000 Sm
0.250 0.000 0.755 Sm
0.250 0.245 0.245 Sm
0.750 0.755 0.755 Sm
```

=====

9.
VASP calculation (GGA-PBE) on a relaxed Sm2HoBi2 crystal.

Geometry as POSCAR:
```
Sm2HoBi2
1.0
4.365 0.002 -0.558
2.306 8.928 0.804
1.107 1.111 8.672
Sm Ho Bi
4 2 4
direct
0.819 0.861 0.660 Sm
0.501 0.500 0.249 Sm
0.499 0.500 0.751 Sm
0.181 0.139 0.340 Sm
0.181 0.139 0.840 Ho
0.819 0.861 0.160 Ho
0.638 0.225 0.064 Bi
0.364 0.769 0.429 Bi
0.636 0.231 0.571 Bi
0.362 0.775 0.936 Bi
```

=====

10.
VASP calculation (GGA-PBE) on a relaxed Sm3HoBi4 crystal.

Geometry as POSCAR:
```
Sm3HoBi4
1.0
4.536 0.000 0.000
0.000 7.853 -0.075
0.000 -2.547 7.429
Sm Bi Ho
3 4 1
direct
0.000 0.000 0.500 Sm
0.500 0.500 0.500 Sm
0.000 0.500 0.000 Sm
0.000 0.246 0.246 Bi
0.000 0.754 0.754 Bi
0.500 0.248 0.752 Bi
0.500 0.752 0.248 Bi
0.500 0.000 0.000 Ho
```

Computed properties:
E above lowest polymorph = 4 meV per atom

=====

11.
VASP calculation (GGA-PBE) on a relaxed SmHo3Bi crystal.

Geometry as POSCAR:
```
SmHo3Bi
1.0
4.002 0.000 0.000
0.000 10.721 0.000
0.000 0.000 14.802
Bi Sm Ho
4 4 12
direct
0.750 0.371 0.138 Bi
0.750 0.871 0.362 Bi
0.250 0.129 0.638 Bi
0.250 0.629 0.862 Bi
0.250 0.658 0.472 Sm
0.750 0.342 0.528 Sm
0.250 0.158 0.028 Sm
0.750 0.842 0.972 Sm
0.250 0.369 0.319 Ho
0.250 0.090 0.425 Ho
0.750 0.131 0.819 Ho
0.750 0.616 0.264 Ho
0.750 0.116 0.236 Ho
0.750 0.631 0.681 Ho
0.250 0.590 0.075 Ho
0.750 0.910 0.575 Ho
0.250 0.384 0.736 Ho
0.250 0.869 0.181 Ho
0.750 0.410 0.925 Ho
0.250 0.884 0.764 Ho
```

=====

12.
VASP calculation (GGA-PBE) on a relaxed Sm3HoBi4 crystal.

Geometry as POSCAR:
```
Sm3HoBi4
1.0
6.409 0.000 0.000
0.000 6.409 0.000
0.000 0.000 6.409
Sm Ho Bi
3 1 4
direct
0.000 0.500 0.500 Sm
0.500 0.500 0.000 Sm
0.500 0.000 0.500 Sm
0.000 0.000 0.000 Ho
0.000 0.000 0.500 Bi
0.500 0.500 0.500 Bi
0.000 0.500 0.000 Bi
0.500 0.000 0.000 Bi
```

Computed properties:
E above lowest polymorph = 0 meV per atom

=====

Looking at formation energy from the elements for the records above, in order, we have -0.88; -0.85; -0.77; -0.78; -0.49; -0.72; -0.89; -0.72; -0.61; -0.90; -0.25; -0.90 eV/atom.
Looking at total DFT energy (no corrections) for the records above, in order, we have -5.144; -5.091; -5.034; -5.117; -4.858; -5.047; -5.170; -5.093; -4.970; -5.183; -4.716; -5.187 eV per atom.